Record 1
{
  "formula": "CaCd4Hg",
  "functional": "PBEsol",
  "state": "relaxed",
  "cell": [[-5.3269, 0.1690, -2.3221], [-0.7468, -1.1567, -5.6481], [-2.6150, -4.9273, -1.6370]],
  "species": ["Cd", "Cd", "Cd", "Hg", "Cd", "Ca"],
  "fractional_positions": [[0.8750, 0.3750, 0.3750], [0.3750, 0.3750, 0.3750], [0.3750, 0.3750, 0.8750], [0.7500, 0.7500, 0.7500], [0.3750, 0.8750, 0.3750], [0.0000, 0.0000, 0.0000]],
  "e_form_ev_per_atom": -0.17,
  "sg": "F-43m",
  "dos_at_fermi_per_ev_fu": 2.54,
  "dft_energy_ev_per_atom": -1.418
}



Record 2
{
  "formula": "TcSb2Pb",
  "functional": "PBEsol",
  "state": "relaxed",
  "cell": [[3.2198, 0.0000, 0.0000], [0.0000, 3.9365, 0.0000], [-1.6099, -1.9682, 7.7756]],
  "species": ["Sb", "Tc", "Sb", "Pb"],
  "fractional_positions": [[0.8302, 0.3302, 0.6605], [0.4653, 0.4653, 0.9306], [0.0232, 0.0232, 0.0464], [0.1813, 0.6813, 0.3625]],
  "raw_formation_energy_kj_per_mol_atoms": 19.6,
  "sg": "Imm2",
  "dos_at_fermi_per_ev_fu": 2.29,
  "dft_energy_ev_per_atom": -5.891
}



Record 3
{
  "formula": "K2CaMo",
  "functional": "PBEsol",
  "state": "relaxed",
  "cell": [[6.0772, 0.0000, 0.0000], [3.0386, 5.2630, 0.0000], [3.0386, 1.7543, 4.9620]],
  "species": ["K", "K", "Mo", "Ca"],
  "fractional_positions": [[0.7500, 0.7500, 0.7500], [0.2500, 0.2500, 0.2500], [0.5000, 0.5000, 0.5000], [0.0000, 0.0000, 0.0000]],
  "e_form_ev_per_atom": 1.40,
  "sg": "Fm-3m",
  "dos_at_fermi_per_ev_fu": 3.49,
  "dft_energy_ev_per_atom": -2.641
}



Record 4
{
  "formula": "LaCrBr2",
  "functional": "PBEsol",
  "state": "relaxed",
  "cell": [[-2.8430, 1.3589, 2.3601], [-1.9187, -4.4007, 0.2227], [2.7150, -0.9894, 3.8402]],
  "species": ["Cr", "La", "Br", "Br"],
  "fractional_positions": [[0.5000, 0.5000, 0.5000], [0.5000, 0.0000, 0.0000], [0.0000, 0.5000, 0.0000], [0.0000, 0.0000, 0.5000]],
  "raw_formation_energy_kj_per_mol_atoms": -49.6,
  "sg": "P4/mmm",
  "dos_at_fermi_per_ev_fu": 1.59,
  "dft_energy_ev_per_atom": -5.346
}



Record 5
{
  "formula": "MnSi2Br",
  "functional": "PBEsol",
  "state": "relaxed",
  "cell": [[-2.2699, -1.6365, 0.0179], [0.4682, -0.7032, -4.9310], [3.6276, -2.6035, 3.2536]],
  "species": ["Br", "Si", "Si", "Mn"],
  "fractional_positions": [[0.5434, 0.5434, 0.0869], [0.7200, 0.2200, 0.4400], [0.9724, 0.9724, 0.9449], [0.2641, 0.7641, 0.5282]],
  "raw_formation_energy_kj_per_mol_atoms": 47.5,
  "sg": "Imm2",
  "dos_at_fermi_per_ev_fu": 2.67,
  "dft_energy_ev_per_atom": -5.288
}



Record 6
{
  "formula": "LiMnIr",
  "functional": "PBEsol",
  "state": "relaxed",
  "cell": [[2.5723, 0.0000, 0.0000], [0.0000, 3.9513, 0.0000], [0.0000, -1.9756, 3.4219]],
  "species": ["Ir", "Li", "Mn"],
  "fractional_positions": [[0.0045, 0.0000, 0.0000], [0.6339, 0.6667, 0.3333], [0.3616, 0.3333, 0.6667]],
  "e_form_ev_per_atom": 0.11,
  "sg": "P3m1",
  "dos_at_fermi_per_ev_fu": 2.31,
  "dft_energy_ev_per_atom": -7.072
}